#one
The following is a PBE-GGA calculation of CuTe2O5 after structural relaxation, from the Alexandria database.

Geometry as POSCAR:
```
CuTe2O5
1.0
-3.3626 4.9808 2.6979
3.7131 2.3877 8.2618
5.1469 8.1073 -0.5104
Cu Te O
4 8 20
Direct
0.9271 0.1139 0.3009 Cu
0.3419 0.3861 0.1991 Cu
0.6581 0.6139 0.8009 Cu
0.0729 0.8861 0.6991 Cu
0.5316 0.0414 0.6578 Te
0.7545 0.0697 0.9551 Te
0.7792 0.4303 0.5449 Te
0.7692 0.5414 0.1578 Te
0.2308 0.4586 0.8422 Te
0.2208 0.5697 0.4551 Te
0.2455 0.9303 0.0449 Te
0.4684 0.9586 0.3422 Te
0.9316 0.0469 0.1172 O
0.2692 0.0103 0.5267 O
0.7847 0.0482 0.7228 O
0.4673 0.1695 0.2044 O
0.8412 0.3305 0.2956 O
0.3425 0.1147 0.9199 O
0.3772 0.3853 0.5801 O
0.0957 0.4531 0.3828 O
0.1938 0.5103 0.0267 O
0.5557 0.4518 0.7772 O
0.4443 0.5482 0.2228 O
0.8062 0.4897 0.9733 O
0.9043 0.5469 0.6172 O
0.6228 0.6147 0.4199 O
0.6575 0.8853 0.0801 O
0.1588 0.6695 0.7044 O
0.5327 0.8305 0.7956 O
0.2153 0.9518 0.2772 O
0.7308 0.9897 0.4733 O
0.0684 0.9531 0.8828 O
```

Summary:
Volume, Å³/cell: 498.6
Spin magnetization, Bohr magnetons per cell: 4.10
SG: No. 15
Crystal system: monoclinic

#two
The following is a PBE-GGA calculation of CuTe2O5 after structural relaxation, from the Alexandria database.

Geometry as POSCAR:
```
CuTe2O5
1.0
-4.3006 8.3172 -1.8238
-5.7432 -3.4696 -2.2796
-4.6762 -1.1002 6.0095
Cu Te O
4 8 20
Direct
0.0115 0.6567 0.7943 Cu
0.4885 0.6567 0.2943 Cu
0.5115 0.3433 0.7057 Cu
0.9885 0.3433 0.2057 Cu
0.6864 0.6641 0.9491 Te
0.1864 0.3359 0.5509 Te
0.8136 0.6641 0.4491 Te
0.2098 0.8456 0.0912 Te
0.7902 0.1544 0.9088 Te
0.7098 0.1544 0.4088 Te
0.2902 0.8456 0.5912 Te
0.3136 0.3359 0.0509 Te
0.1185 0.3657 0.0033 O
0.1372 0.6742 0.5855 O
0.8737 0.5194 0.6888 O
0.8522 0.1587 0.1513 O
0.6478 0.1587 0.6513 O
0.6263 0.5194 0.1888 O
0.3522 0.8413 0.3487 O
0.3737 0.4806 0.8112 O
0.1478 0.8413 0.8487 O
0.8628 0.3258 0.4145 O
0.8152 0.9110 0.5308 O
0.1848 0.0890 0.4692 O
0.3152 0.0890 0.9692 O
0.3815 0.3657 0.5033 O
0.6372 0.3258 0.9145 O
0.3628 0.6742 0.0855 O
0.1263 0.4806 0.3112 O
0.6185 0.6343 0.4967 O
0.6848 0.9110 0.0308 O
0.8815 0.6343 0.9967 O
```

Summary:
Volume, Å³/cell: 494.2
Spin magnetization, Bohr magnetons per cell: 4.03
SG: No. 14
Crystal system: monoclinic

How far above the most stable structure does each one sit? In meV/atom: #one 81; #two 0.

#one
The following is a PBE-GGA calculation of Cu2TeO after structural relaxation, from the Alexandria database.

Geometry as POSCAR:
```
Cu2TeO
1.0
0.0000 3.0898 3.0898
3.0898 0.0000 3.0898
3.0898 3.0898 0.0000
Te O Cu
1 1 2
Direct
0.5000 0.5000 0.5000 Te
0.0000 0.0000 0.0000 O
0.2500 0.2500 0.2500 Cu
0.7500 0.7500 0.7500 Cu
```

Summary:
Volume, Å³/cell: 59.0
Spin magnetization, Bohr magnetons per cell: 0.00
SG: No. 225
Crystal system: cubic

#two
The following is a PBE-GGA calculation of Cu2TeO after structural relaxation, from the Alexandria database.

Geometry as POSCAR:
```
Cu2TeO
1.0
5.0326 0.0000 0.0000
0.0000 5.0326 0.0000
2.5163 2.5163 5.3759
Te O Cu
2 2 4
Direct
0.0000 0.0000 0.0000 Te
0.7500 0.2500 0.5000 Te
0.5000 0.5000 0.0000 O
0.2500 0.7500 0.5000 O
0.4995 0.1250 0.2500 Cu
0.2505 0.6250 0.2500 Cu
0.3750 0.5005 0.7500 Cu
0.8750 0.7495 0.7500 Cu
```

Summary:
Volume, Å³/cell: 136.2
Spin magnetization, Bohr magnetons per cell: 0.00
SG: No. 122
Crystal system: tetragonal

How far above the most stable structure does each one sit? In meV/atom: #one 649; #two 0.

#one
The following is a PBE-GGA calculation of Cu3Te2O10 after structural relaxation, from the Alexandria database.

Geometry as POSCAR:
```
Cu3Te2O10
1.0
-5.4887 2.5645 1.0978
-0.3426 -5.8426 -2.7033
4.0278 2.0933 7.6549
Cu Te O
3 2 10
Direct
0.0000 0.5000 0.0000 Cu
0.3013 0.5711 0.5958 Cu
0.6987 0.4289 0.4042 Cu
0.2772 0.2175 0.9440 Te
0.7228 0.7825 0.0560 Te
0.5460 0.2974 0.6570 O
0.4805 0.5988 0.4326 O
0.1682 0.8308 0.6596 O
0.0962 0.3460 0.7909 O
0.3307 0.6490 0.8639 O
0.6693 0.3510 0.1361 O
0.9038 0.6540 0.2091 O
0.8318 0.1692 0.3404 O
0.5195 0.4012 0.5674 O
0.4540 0.7026 0.3430 O
```

Summary:
Volume, Å³/cell: 218.3
Spin magnetization, Bohr magnetons per cell: 0.98
SG: No. 2
Crystal system: triclinic

#two
The following is a PBE-GGA calculation of Cu3Te2O10 after structural relaxation, from the Alexandria database.

Geometry as POSCAR:
```
Cu3Te2O10
1.0
5.2347 -0.0884 0.0464
-1.5390 5.4260 0.0193
-0.9106 -2.8140 7.1033
Cu Te O
3 2 10
Direct
0.0000 0.5000 0.0000 Cu
0.7028 0.8812 0.9026 Cu
0.2972 0.1188 0.0974 Cu
0.1221 0.7088 0.6940 Te
0.8779 0.2912 0.3060 Te
0.0744 0.0431 0.8416 O
0.3132 0.7244 0.9459 O
0.0856 0.3303 0.5451 O
0.1942 0.4489 0.2012 O
0.4840 0.8570 0.6736 O
0.5160 0.1430 0.3264 O
0.8058 0.5511 0.7988 O
0.9144 0.6697 0.4549 O
0.6868 0.2756 0.0541 O
0.9256 0.9569 0.1584 O
```

Summary:
Volume, Å³/cell: 201.5
Spin magnetization, Bohr magnetons per cell: 3.09
SG: No. 2
Crystal system: triclinic

How far above the most stable structure does each one sit? In meV/atom: #one 459; #two 0.

#one
The following is a PBE-GGA calculation of TiCu3O after structural relaxation, from the Alexandria database.

Geometry as POSCAR:
```
TiCu3O
1.0
4.0424 0.0000 0.0000
0.0000 4.0424 0.0000
0.0000 0.0000 4.0424
O Cu Ti
1 3 1
Direct
0.0000 0.0000 0.0000 O
0.0000 0.5000 0.0000 Cu
0.0000 0.0000 0.5000 Cu
0.5000 0.0000 0.0000 Cu
0.5000 0.5000 0.5000 Ti
```

Summary:
Volume, Å³/cell: 66.1
Spin magnetization, Bohr magnetons per cell: 1.79
SG: No. 221
Crystal system: cubic

#two
The following is a PBE-GGA calculation of TiCu3O after structural relaxation, from the Alexandria database.

Geometry as POSCAR:
```
TiCu3O
1.0
-0.0283 -3.2369 -3.2979
-1.9683 -2.9754 2.9373
-4.1809 1.4227 -1.3605
O Cu Ti
1 3 1
Direct
0.5000 0.5000 0.5000 O
0.0000 0.5000 0.0000 Cu
0.0000 0.0000 0.5000 Cu
0.5000 0.0000 0.0000 Cu
0.0000 0.0000 0.0000 Ti
```

Summary:
Volume, Å³/cell: 98.7
Spin magnetization, Bohr magnetons per cell: 1.26
SG: No. 221
Crystal system: cubic

How far above the most stable structure does each one sit? In meV/atom: #one 0; #two 1508.

#one
The following is a PBE-GGA calculation of Tl2CuO4 after structural relaxation, from the Alexandria database.

Geometry as POSCAR:
```
Tl2CuO4
1.0
6.1685 -0.3787 0.0000
-3.3522 5.1920 0.0000
0.0000 0.0000 6.2452
Tl Cu O
4 2 8
Direct
0.1621 0.8379 0.0000 Tl
0.8379 0.1621 0.0000 Tl
0.1621 0.8379 0.5000 Tl
0.8379 0.1621 0.5000 Tl
0.5000 0.5000 0.2500 Cu
0.5000 0.5000 0.7500 Cu
0.7240 0.7241 0.0000 O
0.2760 0.2759 0.0000 O
0.2759 0.2760 0.5000 O
0.7241 0.7240 0.5000 O
0.5000 0.0000 0.2501 O
0.0000 0.5000 0.2499 O
0.5000 0.0000 0.7499 O
0.0000 0.5000 0.7501 O
```

Summary:
Volume, Å³/cell: 192.1
Spin magnetization, Bohr magnetons per cell: 0.00
SG: No. 65
Crystal system: orthorhombic

#two
The following is a PBE-GGA calculation of Tl2CuO4 after structural relaxation, from the Alexandria database.

Geometry as POSCAR:
```
Tl2CuO4
1.0
4.1872 -1.9664 4.6641
4.2430 3.4830 3.6082
-6.1751 -0.3651 -2.2107
Tl Cu O
2 1 4
Direct
0.6511 0.6511 0.0000 Tl
0.3489 0.3489 0.0000 Tl
0.0000 0.0000 0.0000 Cu
0.2500 0.7500 0.5000 O
0.7500 0.2500 0.5000 O
0.0000 0.5000 0.5000 O
0.5000 0.0000 0.5000 O
```

Summary:
Volume, Å³/cell: 91.7
Spin magnetization, Bohr magnetons per cell: 0.00
SG: No. 139
Crystal system: tetragonal

How far above the most stable structure does each one sit? In meV/atom: #one 6; #two 0.